Entry 1:
Entry from the Alexandria database: TbThZrSc3 after structural relaxation (PBE-GGA).

Structure (extended XYZ):
```
12
Lattice="-3.5137 -2.1787 2.4017 2.3010 -6.6209 -2.6399 4.0158 3.0215 8.6160" Properties=species:S:1:pos:R:3 pbc="T T T"
Tb 0.6116 -0.4992 2.8216
Tb 2.1914 -5.2790 5.5562
Th 1.7240 -1.4716 8.3262
Th 1.0790 -4.3065 0.0516
Sc -0.8861 -3.5767 2.5980
Sc 0.3758 -2.3988 5.5127
Sc 3.2420 1.4947 8.4787
Sc -0.4390 -7.2728 -0.1009
Sc 3.6891 -2.2014 5.7798
Sc 2.4272 -3.3793 2.8651
Zr 0.9246 -6.3205 2.7579
Zr 1.8784 0.5424 5.6199
```

**VASP energy**: -78.64 eV per cell
**N(E_F)**: 18.01 states/eV per cell
**Symmetry**: P2_1/m
**Total moment**: 0.00 μB per cell



Entry 2:
Entry from the Alexandria database: TbTmScTi after structural relaxation (PBE-GGA).

Structure (extended XYZ):
```
4
Lattice="5.2656 0.0000 0.0000 2.6328 4.5602 0.0000 2.6328 1.5201 4.2994" Properties=species:S:1:pos:R:3 pbc="T T T"
Sc 5.2656 3.0401 2.1497
Ti 0.0000 0.0000 0.0000
Tm 2.6328 1.5201 1.0748
Tb 7.8985 4.5602 3.2245
```

**VASP energy**: -22.47 eV per cell
**N(E_F)**: 8.47 states/eV per cell
**Symmetry**: F-43m
**Total moment**: 2.71 μB per cell



Entry 3:
Entry from the Alexandria database: TbZrScTi after structural relaxation (PBE-GGA).

Structure (extended XYZ):
```
4
Lattice="5.1218 0.0000 0.0000 2.5609 4.4356 0.0000 2.5609 1.4785 4.1819" Properties=species:S:1:pos:R:3 pbc="T T T"
Tb 0.0000 0.0000 0.0000
Ti 7.6827 4.4356 3.1365
Zr 5.1218 2.9571 2.0910
Sc 2.5609 1.4785 1.0455
```

**VASP energy**: -26.61 eV per cell
**N(E_F)**: 6.93 states/eV per cell
**Symmetry**: F-43m
**Total moment**: 2.04 μB per cell



Entry 4:
Entry from the Alexandria database: Tb2Sc3Tl4 after structural relaxation (PBE-GGA).

Structure (extended XYZ):
```
18
Lattice="-3.8372 -1.2175 5.4564 6.3289 -5.0209 3.3305 5.0897 7.0366 0.9362" Properties=species:S:1:pos:R:3 pbc="T T T"
Tl 0.3671 3.2069 5.1870
Tl 7.2143 -2.4087 4.5360
Tl 8.6661 2.5388 4.5543
Tl 0.8339 -1.1319 2.4405
Tl 2.7110 -0.9669 5.9040
Tl -1.0847 -1.7406 5.1687
Tl 4.8704 1.7651 3.8190
Tl 6.7475 1.9301 7.2825
Sc 0.0566 0.5727 6.4875
Sc 7.5248 0.2255 3.2355
Sc 0.0000 0.0000 0.0000
Sc 1.9752 1.1814 3.7593
Sc 1.2459 -3.1192 4.3934
Sc 5.6062 -0.3833 5.9637
Tb 3.2023 2.2505 6.9675
Tb 2.9520 4.5798 3.0979
Tb 4.6294 -3.7817 6.6251
Tb 4.3791 -1.4523 2.7556
```

**VASP energy**: -79.34 eV per cell
**N(E_F)**: 15.87 states/eV per cell
**Symmetry**: Cmce
**Total moment**: 0.00 μB per cell